Density functional theory data (PBE+U) for a relaxed Mn2PtO6 crystal.

Unit cell a=8.6313 b=8.6313 c=4.4443 alpha=90.00 beta=90.00 gamma=120.00
Space group P321 (No. 150)
One atom of each set of equivalent atoms:
Mn: 0.0000 0.3115 0.0000 [3 per cell]
Mn: 0.0000 0.6464 0.5000 [3 per cell]
Pt: 0.0000 0.0000 0.5000 [1 per cell]
Pt: 0.3333 0.6667 0.0084 [2 per cell]
O: 0.1009 0.8760 0.2610 [6 per cell]
O: 0.1081 0.5349 0.2473 [6 per cell]
O: 0.2196 0.4421 0.7663 [6 per cell]

## Properties
- E (eV/cell) = -179.02
- N(E_F) (states/eV/atom) = 0.43
- total magnetic moment (μB per cell) = 17.9